1.
Compound: ScNbNiSe2
Source: the Alexandria database
Functional: PBE
Structure: relaxed

* uncorrected energy: -28.3 eV/cell

The structure in CIF format:
```
data_ScNbNiSe2
_space_group_name_H-M_alt 'P 1'
_space_group_IT_number 1
_cell_length_a 4.730
_cell_length_b 4.730
_cell_length_c 4.582
_cell_angle_alpha 90.00
_cell_angle_beta 90.00
_cell_angle_gamma 90.00
loop_
_space_group_symop_operation_xyz
'x,y,z'
loop_
_atom_site_label
_atom_site_type_symbol
_atom_site_fract_x
_atom_site_fract_y
_atom_site_fract_z
Sc1 Sc 0.000 0.000 0.000
Nb1 Nb 0.500 0.500 0.000
Ni1 Ni 0.500 0.500 0.500
Se1 Se 0.000 0.500 0.500
Se2 Se 0.500 0.000 0.500
```



2.
Compound: SmY3Ru3
Source: the Alexandria database
Functional: PBE
Structure: relaxed

* uncorrected energy: -54.0 eV/cell
* DFT formation energy: -298 meV per atom

The structure in CIF format:
```
data_SmY3Ru3
_space_group_name_H-M_alt 'P 1'
_space_group_IT_number 1
_cell_length_a 5.881
_cell_length_b 5.881
_cell_length_c 5.881
_cell_angle_alpha 109.46
_cell_angle_beta 109.46
_cell_angle_gamma 109.46
loop_
_space_group_symop_operation_xyz
'x,y,z'
loop_
_atom_site_label
_atom_site_type_symbol
_atom_site_fract_x
_atom_site_fract_y
_atom_site_fract_z
Sm1 Sm 0.000 0.000 0.000
Y1 Y 0.171 0.586 0.586
Y2 Y 0.586 0.171 0.586
Y3 Y 0.586 0.586 0.171
Ru1 Ru 0.086 0.086 0.586
Ru2 Ru 0.086 0.586 0.086
Ru3 Ru 0.586 0.086 0.086
```



Quick rundown of Fermi-level density of states, same order as above: 3.33; 3.29 states/eV/cell